Version w
This record from Alexandria describes a geometry-optimized Li2MgGaH structure. The functional is PBE.

```
Li2MgGaH
1.0
4.026 0.000 0.000
0.000 4.026 0.000
0.000 0.000 4.587
Li Mg Ga H
2 1 1 1
Direct
0.000 0.500 0.000
0.500 0.000 0.000
0.000 0.000 0.500
0.500 0.500 0.500
0.500 0.500 0.000
```



Version x
This record from Alexandria describes a geometry-optimized Li2MgGaH structure. The functional is PBE.

```
Li2MgGaH
1.0
3.956 0.000 0.000
0.000 3.956 0.000
0.000 0.000 4.478
Li Mg Ga H
2 1 1 1
Direct
0.000 0.500 0.000
0.500 0.000 0.000
0.000 0.000 0.500
0.500 0.500 0.500
0.000 0.000 0.000
```



If we sort the structures by their calculated energies, the order from most to least stable is version x, version w.



Version w
This record from Alexandria describes a geometry-optimized Li2GaSnH structure. The functional is PBE.

```
Li2GaSnH
1.0
4.108 0.000 0.000
0.000 4.108 0.000
0.000 0.000 4.511
Li Ga Sn H
2 1 1 1
Direct
0.000 0.500 0.000
0.500 0.000 0.000
0.000 0.000 0.500
0.500 0.500 0.500
0.000 0.000 0.000
```



Version x
This record from Alexandria describes a geometry-optimized Li2GaSnH structure. The functional is PBE.

```
Li2GaSnH
1.0
4.138 0.000 0.000
0.000 4.138 0.000
0.000 0.000 4.507
Li Ga Sn H
2 1 1 1
Direct
0.000 0.500 0.000
0.500 0.000 0.000
0.000 0.000 0.500
0.500 0.500 0.500
0.500 0.500 0.000
```



If we sort the structures by their calculated energies, the order from most to least stable is version w, version x.



Version w
This record from Alexandria describes a geometry-optimized Sr2LiGaH structure. The functional is PBE.

```
Sr2LiGaH
1.0
5.398 0.000 0.000
0.000 5.398 0.000
0.000 0.000 4.094
Sr Li Ga H
2 1 1 1
Direct
0.000 0.500 0.000
0.500 0.000 0.000
0.000 0.000 0.500
0.500 0.500 0.500
0.000 0.000 0.000
```



Version x
This record from Alexandria describes a geometry-optimized Sr2LiGaH structure. The functional is PBE.

```
Sr2LiGaH
1.0
5.377 0.000 0.000
0.000 5.377 0.000
0.000 0.000 4.303
Sr Li Ga H
2 1 1 1
Direct
0.000 0.500 0.000
0.500 0.000 0.000
0.000 0.000 0.500
0.500 0.500 0.500
0.500 0.500 0.000
```



If we sort the structures by their calculated energies, the order from most to least stable is version w, version x.



Version w
This record from Alexandria describes a geometry-optimized Li2TaGaH structure. The functional is PBE.

```
Li2TaGaH
1.0
3.780 0.000 0.000
0.000 3.780 0.000
0.000 0.000 4.710
Li Ta Ga H
2 1 1 1
Direct
0.000 0.500 0.000
0.500 0.000 0.000
0.000 0.000 0.500
0.500 0.500 0.500
0.500 0.500 0.000
```



Version x
This record from Alexandria describes a geometry-optimized Li2TaGaH structure. The functional is PBE.

```
Li2TaGaH
1.0
3.832 0.000 0.000
0.000 3.832 0.000
0.000 0.000 4.187
Li Ta Ga H
2 1 1 1
Direct
0.000 0.500 0.000
0.500 0.000 0.000
0.000 0.000 0.500
0.500 0.500 0.500
0.000 0.000 0.000
```



If we sort the structures by their calculated energies, the order from most to least stable is version x, version w.



Version w
This record from Alexandria describes a geometry-optimized MgGaH structure. The functional is PBE.

```
MgGaH
1.0
3.206 0.000 0.000
0.000 3.206 0.000
0.000 0.000 8.041
Mg Ga H
2 2 2
Direct
0.250 0.250 0.145
0.750 0.750 0.855
0.250 0.250 0.609
0.750 0.750 0.391
0.250 0.750 0.000
0.750 0.250 0.000
```



Version x
This record from Alexandria describes a geometry-optimized MgGaH structure. The functional is PBE.

```
MgGaH
1.0
-1.810 1.810 4.559
1.810 -1.810 4.559
1.810 1.810 -4.559
Mg Ga H
1 1 1
Direct
0.000 0.000 0.000
0.615 0.615 0.000
0.795 0.795 0.000
```



If we sort the structures by their calculated energies, the order from most to least stable is version w, version x.



Version w
This record from Alexandria describes a geometry-optimized MgGaH structure. The functional is PBE.

```
MgGaH
1.0
2.786 -1.609 0.000
2.786 1.609 0.000
-1.997 0.000 9.405
Mg Ga H
2 2 2
Direct
0.218 0.218 0.156
0.782 0.782 0.844
0.368 0.368 0.604
0.632 0.632 0.396
0.141 0.141 0.923
0.859 0.859 0.077
```



Version x
This record from Alexandria describes a geometry-optimized MgGaH structure. The functional is PBE.

```
MgGaH
1.0
2.802 -1.619 0.000
2.802 1.619 0.000
-1.821 0.000 9.329
Mg Ga H
2 2 2
Direct
0.115 0.115 0.345
0.885 0.885 0.655
0.368 0.368 0.105
0.632 0.632 0.895
0.195 0.195 0.580
0.805 0.805 0.420
```



If we sort the structures by their calculated energies, the order from most to least stable is version x, version w.



Version w
This record from Alexandria describes a geometry-optimized MgGa2H structure. The functional is PBE.

```
MgGa2H
1.0
-2.438 2.438 6.074
2.438 -2.438 6.074
2.438 2.438 -6.074
Mg Ga H
2 4 2
Direct
0.000 0.000 0.000
0.750 0.250 0.500
0.284 0.625 0.159
0.375 0.534 0.659
0.466 0.125 0.841
0.875 0.716 0.341
0.250 0.750 0.500
0.500 0.500 0.000
```



Version x
This record from Alexandria describes a geometry-optimized MgGa2H structure. The functional is PBE.

```
MgGa2H
1.0
0.000 3.223 3.223
3.223 0.000 3.223
3.223 3.223 0.000
Mg Ga H
1 2 1
Direct
0.000 0.000 0.000
0.250 0.250 0.250
0.750 0.750 0.750
0.500 0.500 0.500
```



If we sort the structures by their calculated energies, the order from most to least stable is version w, version x.



Version w
This record from Alexandria describes a geometry-optimized Mg2GaHPb structure. The functional is PBE.

```
Mg2GaHPb
1.0
4.576 0.000 0.000
0.000 4.576 0.000
0.000 0.000 4.501
Mg Ga H Pb
2 1 1 1
Direct
0.000 0.500 0.000
0.500 0.000 0.000
0.000 0.000 0.500
0.000 0.000 0.000
0.500 0.500 0.500
```



Version x
This record from Alexandria describes a geometry-optimized Mg2GaHPb structure. The functional is PBE.

```
Mg2GaHPb
1.0
5.625 0.000 0.000
0.000 5.625 0.000
0.000 0.000 3.893
Mg Ga H Pb
2 1 1 1
Direct
0.000 0.500 0.000
0.500 0.000 0.000
0.000 0.000 0.500
0.500 0.500 0.500
0.500 0.500 0.000
```



If we sort the structures by their calculated energies, the order from most to least stable is version w, version x.



Version w
This record from Alexandria describes a geometry-optimized Mg2GaHPd structure. The functional is PBE.

```
Mg2GaHPd
1.0
4.616 0.000 0.000
0.000 4.616 0.000
0.000 0.000 3.485
Mg Ga H Pd
2 1 1 1
Direct
0.000 0.500 0.000
0.500 0.000 0.000
0.000 0.000 0.500
0.500 0.500 0.000
0.500 0.500 0.500
```



Version x
This record from Alexandria describes a geometry-optimized Mg2GaHPd structure. The functional is PBE.

```
Mg2GaHPd
1.0
4.210 0.000 0.000
0.000 4.210 0.000
0.000 0.000 3.990
Mg Ga H Pd
2 1 1 1
Direct
0.000 0.500 0.000
0.500 0.000 0.000
0.000 0.000 0.500
0.000 0.000 0.000
0.500 0.500 0.500
```



If we sort the structures by their calculated energies, the order from most to least stable is version w, version x.



Version w
This record from Alexandria describes a geometry-optimized Mg2GaHPt structure. The functional is PBE.

```
Mg2GaHPt
1.0
4.147 0.000 0.000
0.000 4.147 0.000
0.000 0.000 4.039
Mg Ga H Pt
2 1 1 1
Direct
0.000 0.500 0.000
0.500 0.000 0.000
0.000 0.000 0.500
0.000 0.000 0.000
0.500 0.500 0.500
```



Version x
This record from Alexandria describes a geometry-optimized Mg2GaHPt structure. The functional is PBE.

```
Mg2GaHPt
1.0
4.606 0.000 0.000
0.000 4.606 0.000
0.000 0.000 3.486
Mg Ga H Pt
2 1 1 1
Direct
0.000 0.500 0.000
0.500 0.000 0.000
0.000 0.000 0.500
0.500 0.500 0.000
0.500 0.500 0.500
```



If we sort the structures by their calculated energies, the order from most to least stable is version x, version w.



Version w
This record from Alexandria describes a geometry-optimized MgTiGa2H structure. The functional is PBE.

```
MgTiGa2H
1.0
4.234 0.000 0.000
0.000 4.234 0.000
0.000 0.000 3.941
Mg Ti Ga H
1 1 2 1
Direct
0.000 0.000 0.000
0.500 0.500 0.000
0.000 0.500 0.500
0.500 0.000 0.500
0.000 0.000 0.500
```



Version x
This record from Alexandria describes a geometry-optimized MgTiGa2H structure. The functional is PBE.

```
MgTiGa2H
1.0
5.070 0.000 0.000
0.000 5.070 0.000
0.000 0.000 5.649
Mg Ti Ga H
1 1 2 1
Direct
0.000 0.000 0.000
0.000 0.000 0.500
0.000 0.500 0.500
0.500 0.000 0.500
0.500 0.500 0.000
```



If we sort the structures by their calculated energies, the order from most to least stable is version w, version x.



Version w
This record from Alexandria describes a geometry-optimized Mg2ZnGaH structure. The functional is PBE.

```
Mg2ZnGaH
1.0
4.345 0.000 0.000
0.000 4.345 0.000
0.000 0.000 4.028
Mg Zn Ga H
2 1 1 1
Direct
0.000 0.500 0.000
0.500 0.000 0.000
0.000 0.000 0.500
0.500 0.500 0.500
0.000 0.000 0.000
```



Version x
This record from Alexandria describes a geometry-optimized Mg2ZnGaH structure. The functional is PBE.

```
Mg2ZnGaH
1.0
4.274 0.000 0.000
0.000 4.274 0.000
0.000 0.000 4.239
Mg Zn Ga H
2 1 1 1
Direct
0.000 0.500 0.000
0.500 0.000 0.000
0.000 0.000 0.500
0.500 0.500 0.500
0.500 0.500 0.000
```



If we sort the structures by their calculated energies, the order from most to least stable is version w, version x.



Version w
This record from Alexandria describes a geometry-optimized Mn2GaH2 structure. The functional is PBE.

```
Mn2GaH2
1.0
2.432 -4.029 0.000
2.432 4.029 0.000
-2.413 0.000 4.578
Mn Ga H
4 2 4
Direct
0.043 0.957 0.750
0.291 0.709 0.250
0.709 0.291 0.750
0.957 0.043 0.250
0.376 0.624 0.750
0.624 0.376 0.250
0.006 0.254 0.006
0.254 0.006 0.506
0.746 0.994 0.494
0.994 0.746 0.994
```



Version x
This record from Alexandria describes a geometry-optimized Mn2GaH2 structure. The functional is PBE.

```
Mn2GaH2
1.0
-1.388 1.388 5.823
1.388 -1.388 5.823
1.388 1.388 -5.823
Mn Ga H
2 1 2
Direct
0.153 0.153 0.000
0.847 0.847 0.000
0.500 0.500 0.000
0.250 0.750 0.500
0.750 0.250 0.500
```



If we sort the structures by their calculated energies, the order from most to least stable is version x, version w.



Version w
This record from Alexandria describes a geometry-optimized MnGaH3 structure. The functional is PBE.

```
MnGaH3
1.0
3.407 0.000 0.000
0.000 3.407 0.000
0.000 0.000 3.407
Mn Ga H
1 1 3
Direct
0.000 0.000 0.000
0.500 0.500 0.500
0.000 0.500 0.500
0.500 0.000 0.500
0.500 0.500 0.000
```



Version x
This record from Alexandria describes a geometry-optimized MnGaH3 structure. The functional is PBE.

```
MnGaH3
1.0
3.435 0.000 0.000
0.000 3.435 0.000
0.000 0.000 3.435
Mn Ga H
1 1 3
Direct
0.000 0.000 0.000
0.500 0.500 0.500
0.000 0.000 0.500
0.000 0.500 0.000
0.500 0.000 0.000
```



If we sort the structures by their calculated energies, the order from most to least stable is version x, version w.